Computed, not measured: a geometry-optimized K2MgFe structure at the PBE level of DFT.

Output
Energy relative to the lowest polymorph listed for this composition = 271 meV per atom
DOS(E_F) = 3.36 states/eV/cell
DFT total energy = -8.8 eV per cell
Energy relative to the elements = 0.859 eV per atom

Unit cell a=6.589 b=6.589 c=6.589 alpha=136.33 beta=136.33 gamma=63.47
Element x y z (fractional)
K1 0.250 0.750 0.500
K2 0.750 0.250 0.500
Mg1 0.000 0.000 0.000
Fe1 0.500 0.500 0.000